This record from the Alexandria database describes a relaxed structure of SrY4Ir. The functional is PBE-GGA.

The structure in POSCAR format:
```
SrY4Ir
1.0
0.000 4.486 4.486
4.486 0.000 4.486
4.486 4.486 0.000
Y Ir Sr
4 1 1
Direct
0.377 0.869 0.377
0.377 0.377 0.377
0.869 0.377 0.377
0.377 0.377 0.869
0.750 0.750 0.750
0.000 0.000 0.000
```

## Properties
Crystal system = cubic
Total energy = -32.6 eV/f.u.